Arrangement one

The following is a PBE-GGA calculation of crystalline CuSnBiPd2 at its relaxed geometry, from Alexandria via LeMat-Bulk.

Properties
The density of states at the Fermi level is 0.24 states/eV/atom.

CIF file:
```
data_CuSnBiPd2
_chemical_formula_sum 'Cu1 Sn1 Bi1 Pd2'
_space_group_name_H-M_alt 'P 4/m m m'
_space_group_IT_number 123
_space_group_name_Hall '-P 4 2'
_cell_length_a 4.973
_cell_length_b 4.973
_cell_length_c 5.693
_cell_angle_alpha 90.00
_cell_angle_beta 90.00
_cell_angle_gamma 90.00
loop_
_atom_site_label
_atom_site_type_symbol
_atom_site_fract_x
_atom_site_fract_y
_atom_site_fract_z
_atom_site_occupancy
Cu1 Cu 0.000 0.000 0.000 1
Sn1 Sn 0.500 0.500 0.500 1
Bi1 Bi 0.500 0.500 0.000 1
Pd1 Pd 0.000 0.500 0.500 1
```


Arrangement two

The following is a PBE-GGA calculation of crystalline CuSnBiPd2 at its relaxed geometry, from Alexandria via LeMat-Bulk.

Properties
The density of states at the Fermi level is 0.28 states/eV/atom.

CIF file:
```
data_CuSnBiPd2
_chemical_formula_sum 'Cu1 Sn1 Bi1 Pd2'
_space_group_name_H-M_alt 'P 4/m m m'
_space_group_IT_number 123
_space_group_name_Hall '-P 4 2'
_cell_length_a 5.139
_cell_length_b 5.139
_cell_length_c 4.868
_cell_angle_alpha 90.00
_cell_angle_beta 90.00
_cell_angle_gamma 90.00
loop_
_atom_site_label
_atom_site_type_symbol
_atom_site_fract_x
_atom_site_fract_y
_atom_site_fract_z
_atom_site_occupancy
Cu1 Cu 0.000 0.000 0.000 1
Sn1 Sn 0.500 0.500 0.000 1
Bi1 Bi 0.000 0.000 0.500 1
Pd1 Pd 0.000 0.500 0.500 1
```


What is the least stable structure shown above? It is arrangement one.